Record 1
This record from Alexandria describes crystalline CaLaPt2 at its relaxed geometry. The functional is PBEsol.

Results
- Symmetry: I-4m2, No. 119
- E_form: -0.7826 eV per atom
- M_tot: 0.0 μB/cell
- Calculated total energy: -0.225 hartree per atom
- DOS(E_F): 0.492 states/eV per atom

Structure (extended XYZ):
```
4
Lattice="-0.3400 -0.4462 -4.1209 3.9036 -1.4250 -0.1678 -3.4386 -3.6779 2.7806" Properties=species:S:1:pos:R:3 pbc="T T T"
Pt 0.0000 0.0000 0.0000
La 1.1234 -3.0193 0.2342
Ca 1.7818 -0.9356 -2.1443
Pt -0.9984 -2.5299 -1.7423
```

=====

Record 2
This record from Alexandria describes crystalline Tc3IBr at its relaxed geometry. The functional is PBEsol.

Results
- Symmetry: Pm-3m, No. 221
- M_tot: 4.6 μB/cell
- ΔE to the lowest computed polymorph: 437 meV per atom
- Calculated total energy: -0.191 hartree per atom
- DOS(E_F): 1.208 states/eV per atom
- ΔE_f (raw): 2.28 eV/atom

Structure (extended XYZ):
```
5
Lattice="-1.0924 -0.6432 4.6983 3.7682 -3.0448 0.4593 2.8790 3.7412 1.1816" Properties=species:S:1:pos:R:3 pbc="T T T"
Tc -0.5462 -0.3216 2.3492
Tc 1.8841 -1.5224 0.2296
I 0.0000 0.0000 0.0000
Br 2.7774 0.0266 3.1696
Tc 1.4395 1.8706 0.5908
```

=====

Record 3
This record from Alexandria describes crystalline EuHfS3 at its relaxed geometry. The functional is PBEsol.

Results
- Symmetry: Pnma, No. 62
- M_tot: 27.8 μB/cell
- Calculated total energy: -0.320 hartree per atom
- DOS(E_F): 2.501 states/eV per atom
- ΔE_f (raw): -1.87 eV/atom

Structure (extended XYZ):
```
20
Lattice="-2.4246 -2.1467 5.5829 5.5811 -4.2063 0.8064 4.5542 6.9330 4.6437" Properties=species:S:1:pos:R:3 pbc="T T T"
S 1.6047 1.2940 7.3140
S 5.1022 -3.6919 5.3734
Hf -1.2123 -1.0734 2.7914
S 6.5028 2.1825 8.7358
Eu 4.3651 2.3545 6.7995
Hf 5.0677 1.3633 2.7251
Hf 2.7906 -2.1032 0.4032
S 1.2079 -1.6026 2.2973
S 6.1060 -0.7141 3.7190
S 3.3720 3.9844 9.1160
S 2.6085 4.2719 5.6597
S 2.9752 1.0878 4.0993
Hf 1.0648 2.3931 5.1133
S 4.7356 -0.5079 6.9337
S 4.3387 -3.4044 1.9170
S 1.6495 -2.1751 6.4948
Eu 1.5934 1.2479 1.4395
S 6.0612 2.7550 4.5382
Eu 3.3456 -1.7746 4.2335
Eu 6.1174 -0.6679 9.5935
```

=====

Record 4
This record from Alexandria describes crystalline LiLa2Rh at its relaxed geometry. The functional is PBEsol.

Results
- Symmetry: C2/m, No. 12
- E_form: -0.2912 eV per atom
- M_tot: 0.0 μB/cell
- Calculated total energy: -0.202 hartree per atom
- DOS(E_F): 0.745 states/eV per atom

Structure (extended XYZ):
```
4
Lattice="4.0143 0.0000 0.0000 -2.0071 3.4771 -0.0419 0.0000 -2.1961 8.8048" Properties=species:S:1:pos:R:3 pbc="T T T"
Li 0.0000 -1.0980 4.4024
La 0.0000 1.1771 1.5771
La 2.0071 0.1040 7.1859
Rh 2.0071 0.0000 0.0000
```

=====

Record 5
This record from Alexandria describes crystalline ScTa2Hg at its relaxed geometry. The functional is PBEsol.

Results
- Symmetry: Pmm2, No. 25
- E_form: 0.0267 eV per atom
- M_tot: 0.0 μB/cell
- Calculated total energy: -0.296 hartree per atom
- DOS(E_F): 0.886 states/eV per atom

Structure (extended XYZ):
```
4
Lattice="-2.2560 1.1213 1.7814 -2.4148 -2.3890 -1.5544 1.4349 -4.4591 4.6240" Properties=species:S:1:pos:R:3 pbc="T T T"
Ta 0.0201 -0.0624 0.0647
Sc -1.2574 -3.9839 3.5875
Hg 0.7150 -2.2219 2.3041
Ta -1.9962 -1.6880 1.2066
```

=====

Record 6
This record from Alexandria describes crystalline BaTl2InPb at its relaxed geometry. The functional is PBEsol.

Results
- Symmetry: P4/mmm, No. 123
- E_form: 0.2984 eV per atom
- M_tot: 0.0 μB/cell
- Calculated total energy: -0.095 hartree per atom
- DOS(E_F): 0.925 states/eV per atom

Structure (extended XYZ):
```
5
Lattice="-0.1338 -5.6036 -1.3573 -0.9051 -1.3204 5.5406 -6.4489 0.3869 -0.9613" Properties=species:S:1:pos:R:3 pbc="T T T"
Ba -3.2245 0.1934 -0.4807
Tl -0.0669 -2.8018 -0.6787
Pb 0.0000 0.0000 0.0000
In -3.7440 -3.2686 1.6110
Tl -0.4526 -0.6602 2.7703
```

=====

Record 7
This record from Alexandria describes crystalline Li2La2Pb at its relaxed geometry. The functional is PBEsol.

Results
- Symmetry: P4/mbm, No. 127
- E_form: -0.2577 eV per atom
- M_tot: 0.0 μB/cell
- Calculated total energy: -0.146 hartree per atom
- DOS(E_F): 0.826 states/eV per atom

Structure (extended XYZ):
```
10
Lattice="5.0111 0.0000 0.0000 0.0000 7.0751 0.0000 0.0000 0.0000 7.0751" Properties=species:S:1:pos:R:3 pbc="T T T"
Pb 0.0000 0.0000 0.0000
La 2.5056 4.7689 5.8437
Li 0.0000 2.5859 6.1234
Li 0.0000 4.4892 0.9516
La 2.5056 1.2313 4.7689
Li 0.0000 6.1234 4.4892
La 2.5056 2.3062 1.2313
Pb 0.0000 3.5375 3.5375
La 2.5056 5.8437 2.3062
Li 0.0000 0.9516 2.5859
```

=====

Record 8
This record from Alexandria describes crystalline Sr5In2Sb6 at its relaxed geometry. The functional is PBEsol.

Results
- Symmetry: Pbam, No. 55
- M_tot: 0.0 μB/cell
- Calculated total energy: -0.150 hartree per atom
- DOS(E_F): 0.046 states/eV per atom
- ΔE_f (raw): -0.82 eV/atom

Structure (extended XYZ):
```
26
Lattice="4.6552 0.0000 0.0000 0.0000 12.5920 0.0000 0.0000 0.0000 14.6616" Properties=species:S:1:pos:R:3 pbc="T T T"
Sb 2.3276 10.5191 9.8790
Sb 0.0000 4.3681 1.3735
Sb 0.0000 8.2240 13.2881
Sr 2.3276 8.4651 7.0497
Sr 2.3276 11.4873 3.6749
Sb 2.3276 4.2231 12.1135
Sr 2.3276 2.1691 0.2811
Sb 0.0000 6.6242 8.7303
In 0.0000 4.1675 10.4676
In 0.0000 10.4635 11.5249
Sb 0.0000 10.6641 5.9573
Sr 2.3276 0.0000 7.3308
Sr 2.3276 5.1913 3.6559
In 0.0000 2.1285 3.1368
Sr 2.3276 10.4229 14.3805
Sr 2.3276 1.1047 10.9867
Sr 2.3276 7.4007 11.0057
Sb 0.0000 0.3282 13.2622
Sb 2.3276 8.3689 2.5482
Sb 0.0000 12.2638 1.3994
Sb 0.0000 5.9678 5.9314
Sb 2.3276 2.0729 4.7826
Sb 0.0000 1.9279 8.7043
In 0.0000 8.4245 4.1940
Sr 2.3276 4.1269 7.6119
Sr 2.3276 6.2960 0.0000
```